(1)
First-principles (GGA-PBE) data for a relaxed TeRhC3 crystal, as listed in Alexandria.

Values from the calculation:
- Uncorrected energy: -5.40 eV/atom
- Offset from the most stable computed form: 0.000 eV/atom
- V: 68 Å³ per cell

a b c (Å): 4.0736 4.0736 4.0736
angles (deg): 90.00 90.00 90.00
Last column: nearest neighbours and their distance in Å.
Fractional coordinates of all 5 atoms:
Te: 0.0000 0.0000 0.0000  12 C 2.88
Rh: 0.5000 0.5000 0.5000  6 C 2.04
C: 0.0000 0.5000 0.5000  2 Rh 2.04
C: 0.5000 0.0000 0.5000  2 Rh 2.04
C: 0.5000 0.5000 0.0000  2 Rh 2.04

(2)
First-principles (GGA-PBE) data for a relaxed NaAlGe3 crystal, as listed in Alexandria.

Values from the calculation:
- Uncorrected energy: -2.74 eV/atom
- Offset from the most stable computed form: 0.678 eV/atom
- V: 127 Å³ per cell
- E_form: 1.04 eV/atom

a b c (Å): 5.0324 5.0324 5.0324
angles (deg): 90.00 90.00 90.00
Last column: nearest neighbours and their distance in Å.
Fractional coordinates of all 5 atoms:
Na: 0.0000 0.0000 0.0000  6 Ge 2.52
Al: 0.5000 0.5000 0.5000  12 Ge 3.56
Ge: 0.0000 0.0000 0.5000  2 Na 2.52
Ge: 0.0000 0.5000 0.0000  2 Na 2.52
Ge: 0.5000 0.0000 0.0000  2 Na 2.52

(3)
First-principles (GGA-PBE) data for a relaxed LiMg5CdGa2 crystal, as listed in Alexandria.

Values from the calculation:
- Uncorrected energy: -1.90 eV/atom
- V: 382 Å³ per cell
- E_form: -0.02 eV/atom

a b c (Å): 8.6351 8.6351 8.6351
angles (deg): 128.69 128.69 75.52
Last column: nearest neighbours and their distance in Å.
Fractional coordinates of all 18 atoms:
Li: 0.2500 0.7500 0.5000  4 Mg 2.72
Li: 0.7500 0.2500 0.5000  4 Mg 2.72
Mg: 0.0000 0.0000 0.0000  4 Ga 3.02, 8 Mg 3.23
Mg: 0.0755 0.5755 0.9153  1 Ga 2.62, 1 Li 2.72
Mg: 0.1602 0.0755 0.5000  1 Ga 2.62, 1 Li 2.72
Mg: 0.3398 0.8398 0.9153  1 Ga 2.62, 1 Li 2.72
Mg: 0.4245 0.3398 0.5000  1 Ga 2.62, 1 Li 2.72
Mg: 0.5000 0.5000 0.0000  4 Ga 3.02, 8 Mg 3.23
Mg: 0.5755 0.6602 0.5000  1 Ga 2.62, 1 Li 2.72
Mg: 0.6602 0.1602 0.0847  1 Ga 2.62, 1 Li 2.72
Mg: 0.8398 0.9245 0.5000  1 Ga 2.62, 1 Li 2.72
Mg: 0.9245 0.4245 0.0847  1 Ga 2.62, 1 Li 2.72
Cd: 0.2500 0.2500 0.0000  10 Mg 3.13-3.41
Cd: 0.7500 0.7500 0.0000  10 Mg 3.13-3.41
Ga: 0.1122 0.3878 0.5000  1 Ga 2.37, 2 Mg 2.62
Ga: 0.3878 0.8878 0.2757  1 Ga 2.37, 2 Mg 2.62
Ga: 0.6122 0.1122 0.7243  1 Ga 2.37, 2 Mg 2.62
Ga: 0.8878 0.6122 0.5000  1 Ga 2.37, 2 Mg 2.62

(4)
First-principles (GGA-PBE) data for a relaxed Rb3Np3CrTe8 crystal, as listed in Alexandria.

Values from the calculation:
- Uncorrected energy: -5.83 eV/atom
- V: 593 Å³ per cell

a b c (Å): 10.1327 10.1327 10.1327
angles (deg): 51.75 51.75 51.75
Last column: nearest neighbours and their distance in Å.
Fractional coordinates of all 15 atoms:
Rb: 0.0000 0.5000 0.5000  6 Te 3.65-3.70
Rb: 0.5000 0.0000 0.5000  6 Te 3.65-3.70
Rb: 0.5000 0.5000 0.0000  6 Te 3.65-3.70
Np: 0.0000 0.0000 0.5000  6 Te 3.10-3.11
Np: 0.0000 0.5000 0.0000  6 Te 3.10-3.11
Np: 0.5000 0.0000 0.0000  6 Te 3.10-3.11
Cr: 0.5000 0.5000 0.5000  6 Te 2.88
Te: 0.2342 0.2342 0.2342  3 Np 3.11
Te: 0.2513 0.7168 0.7168  1 Cr 2.88, 2 Np 3.10
Te: 0.2832 0.2832 0.7487  1 Cr 2.88, 2 Np 3.10
Te: 0.2832 0.7487 0.2832  1 Cr 2.88, 2 Np 3.10
Te: 0.7168 0.2513 0.7168  1 Cr 2.88, 2 Np 3.10
Te: 0.7168 0.7168 0.2513  1 Cr 2.88, 2 Np 3.10
Te: 0.7487 0.2832 0.2832  1 Cr 2.88, 2 Np 3.10
Te: 0.7658 0.7658 0.7658  3 Np 3.11